DFT (PBE-GGA) results for Tm2MnFeSi2 after structural relaxation.

## Properties
Formation energy without anion corrections: -0.60 eV/atom

Cell lengths 5.627, 13.088, 5.651 Å; angles 90.00, 90.00, 90.00 degrees
Space group Ibam (No. 72)
One atom of each set of equivalent atoms:
Tm 0.249 0.161 0.000 (multiplicity 8)
Mn 0.000 0.500 0.250 (multiplicity 4)
Fe 0.000 0.000 0.250 (multiplicity 4)
Si 0.242 0.098 0.500 (multiplicity 8)

DFT (PBE-GGA) results for DyHoAs2 after structural relaxation.

## Properties
Energy of formation from the pure elements: -593 kJ/mol of formula units

Cell lengths 5.808, 5.808, 11.624 Å; angles 90.00, 90.00, 90.00 degrees
Space group I4_1/amd (No. 141, origin choice 2)
One atom of each set of equivalent atoms:
Dy 0.000 0.250 0.375 (multiplicity 4)
Ho 0.000 0.250 0.875 (multiplicity 4)
As 0.000 0.250 0.125 (multiplicity 8)

DFT (PBE-GGA) results for Cr2ReRu after structural relaxation.

## Properties
Energy of formation from the pure elements: 85 kJ/mol of formula units

Cell lengths 2.933, 4.357, 8.328 Å; angles 90.00, 90.00, 90.00 degrees
Space group Cmm2 (No. 35)
One atom of each set of equivalent atoms:
Cr 0.000 0.000 0.000 (multiplicity 2)
Cr 0.000 0.500 0.224 (multiplicity 2)
Re 0.000 0.500 0.748 (multiplicity 2)
Ru 0.000 0.000 0.472 (multiplicity 2)

DFT (PBE-GGA) results for TaFeMo2 after structural relaxation.

## Properties
Energy of formation from the pure elements: -11 kJ/mol of formula units

Cell lengths 3.158, 3.158, 6.143 Å; angles 90.00, 90.00, 90.00 degrees
Space group P4mm (No. 99)
One atom of each set of equivalent atoms:
Ta 0.000 0.000 0.000 (multiplicity 1)
Fe 0.500 0.500 0.240 (multiplicity 1)
Mo 0.000 0.000 0.486 (multiplicity 1)
Mo 0.500 0.500 0.730 (multiplicity 1)

DFT (PBE-GGA) results for CaMnCl2 after structural relaxation.

## Properties
Formation energy without anion corrections: -0.76 eV/atom

Cell lengths 3.579, 4.193, 6.173 Å; angles 90.00, 90.00, 90.00 degrees
Space group Pmmm (No. 47)
One atom of each set of equivalent atoms:
Ca 0.000 0.000 0.000 (multiplicity 1)
Mn 0.500 0.000 0.500 (multiplicity 1)
Cl 0.000 0.500 0.500 (multiplicity 1)
Cl 0.500 0.500 0.000 (multiplicity 1)

DFT (PBE-GGA) results for PmCdBr after structural relaxation.

## Properties
Formation energy without anion corrections: -0.90 eV/atom

Cell lengths 7.585, 4.374, 11.868 Å; angles 90.00, 90.90, 90.00 degrees
Space group C2/m (No. 12)
One atom of each set of equivalent atoms:
Pm 0.005 0.000 0.206 (multiplicity 4)
Cd 0.165 0.500 0.955 (multiplicity 4)
Br 0.176 0.500 0.349 (multiplicity 4)

DFT (PBE-GGA) results for CaMgB2Br after structural relaxation.

## Properties
Formation energy without anion corrections: 0.99 eV/atom

Cell lengths 4.359, 4.359, 6.539 Å; angles 90.00, 90.00, 90.00 degrees
Space group P4/mmm (No. 123)
One atom of each set of equivalent atoms:
Ca 0.000 0.000 0.000 (multiplicity 1)
Mg 0.000 0.000 0.500 (multiplicity 1)
B 0.000 0.500 0.500 (multiplicity 2)
Br 0.500 0.500 0.000 (multiplicity 1)

DFT (PBE-GGA) results for TbSi2Rh4 after structural relaxation.

## Properties
Formation energy without anion corrections: -0.89 eV/atom

Cell lengths 7.657, 7.657, 3.759 Å; angles 90.00, 90.00, 90.00 degrees
Space group P4_2/mnm (No. 136)
One atom of each set of equivalent atoms:
Tb 0.000 0.000 0.000 (multiplicity 2)
Si 0.229 0.229 0.500 (multiplicity 4)
Rh 0.073 0.672 0.500 (multiplicity 8)

DFT (PBE-GGA) results for Ba2InAg3Sn4 after structural relaxation.

## Properties
Energy of formation from the pure elements: -391 kJ/mol of formula units

Cell lengths 4.816, 4.816, 12.144 Å; angles 90.00, 90.00, 90.00 degrees
Space group P-4m2 (No. 115)
One atom of each set of equivalent atoms:
Ba 0.000 0.500 0.249 (multiplicity 2)
In 0.000 0.000 0.500 (multiplicity 1)
Ag 0.000 0.500 0.868 (multiplicity 2)
Ag 0.500 0.500 0.500 (multiplicity 1)
Sn 0.000 0.000 0.000 (multiplicity 1)
Sn 0.000 0.500 0.640 (multiplicity 2)
Sn 0.500 0.500 0.000 (multiplicity 1)

DFT (PBE-GGA) results for MgReSi2 after structural relaxation.

## Properties
Formation energy without anion corrections: 0.21 eV/atom

Cell lengths 3.116, 4.880, 8.282 Å; angles 90.00, 90.00, 90.00 degrees
Space group Cmmm (No. 65)
One atom of each set of equivalent atoms:
Mg 0.000 0.000 0.000 (multiplicity 2)
Re 0.000 0.000 0.500 (multiplicity 2)
Si 0.000 0.500 0.270 (multiplicity 4)

DFT (PBE-GGA) results for Cr2TcAsP after structural relaxation.

## Properties
Energy of formation from the pure elements: 425 kJ/mol of formula units

Cell lengths 4.765, 4.765, 4.424 Å; angles 90.00, 90.00, 90.00 degrees
Space group P4/mmm (No. 123)
One atom of each set of equivalent atoms:
Cr 0.000 0.500 0.000 (multiplicity 2)
Tc 0.000 0.000 0.000 (multiplicity 1)
As 0.500 0.500 0.500 (multiplicity 1)
P 0.000 0.000 0.500 (multiplicity 1)

DFT (PBE-GGA) results for BaPm2P after structural relaxation.

## Properties
Energy of formation from the pure elements: -258 kJ/mol of formula units

Cell lengths 4.0603, 4.0603, 30.9021 Å; angles 90.00, 90.00, 120.00 degrees
Space group R-3m (No. 166, hexagonal axes)
One atom of each set of equivalent atoms:
Ba 0.0000 0.0000 0.0000 (multiplicity 3)
Pm 0.0000 0.0000 0.2184 (multiplicity 6)
P 0.0000 0.0000 0.5000 (multiplicity 3)

| no. | DOS at the Fermi energy (states/eV/cell) |
| --- | --- |
| 1 | 22.91 |
| 2 | 1.96 |
| 3 | 9.54 |
| 4 | 3.40 |
| 5 | 2.05 |
| 6 | 8.99 |
| 7 | 2.83 |
| 8 | 9.48 |
| 9 | 3.78 |
| 10 | 4.34 |
| 11 | 3.58 |
| 12 | 17.22 |